# ScReO2

A relaxed ScReO2 crystal (PBE, Alexandria).

Properties
Energy above the most stable polymorph in this dataset = 900.5 meV/atom
Formation energy (no corrections) = -0.989 eV per atom
Total moment = 0.0000 μB per atom

a = 2.8785 Å, b = 2.8785 Å, c = 20.6318 Å
α = 90.00°, β = 90.00°, γ = 120.00°
Last column: nearest neighbours and their distance in Å.
Space group R-3m (No. 166, hexagonal axes)
One atom of each set of equivalent atoms:
Sc 0.0000 0.0000 0.0000 [3 per cell]  2 O 2.08
Re 0.0000 0.0000 0.5000 [3 per cell]  6 O 2.15
O 0.0000 0.0000 0.1008 [6 per cell]  1 Sc 2.08, 3 Re 2.15